TbDy2Ga3CuAg2 | PBE | optimized geometry

a b c (Å): 3.8035 7.4871 7.4871
angles (deg): 120.06 90.00 90.00
Fractional positions:
Ag (0.5000, 0.6674, 0.3329)
Ag (0.5000, 0.3329, 0.6674)
Ga (0.5000, 0.2454, 0.9995)
Tb (0.0000, 0.3969, 0.3969)
Dy (0.0000, 0.0000, 0.6039)
Cu (0.0000, 0.9995, 0.9995)
Ga (0.5000, 0.7546, 0.7546)
Dy (0.0000, 0.6039, 0.0000)
Ga (0.5000, 0.9995, 0.2454)

electronic total energy: -36.43 eV for the cell shown
total magnetic moment: 0.00 Bohr magnetons per cell